(1)
The following is a PBE calculation of an optimized crystal structure of Np2NiTe3, from Alexandria.

```
24
Lattice="-3.0373 -1.4821 -2.6477 2.3001 -8.1175 1.9053 -11.1173 -0.1385 12.8307" Properties=species:S:1:pos:R:3 pbc="T T T"
Te -6.7858 -7.2862 10.1224
Te -9.7857 -5.4433 12.5321
Te -2.0689 -4.2948 -0.4439
Te -3.1586 -6.5012 2.0413
Te -5.0687 -2.4519 1.9658
Te -8.6959 -3.2369 10.0470
Te -7.9045 -5.3204 6.8246
Te -3.9501 -4.4176 5.2637
Te -5.0967 -8.4056 5.3306
Te 0.2857 -8.4380 2.6550
Te -6.7578 -1.3325 6.7577
Te -12.1403 -1.3001 9.4333
Ni -8.4115 -7.4859 12.0991
Ni -6.9689 -3.3949 8.1543
Ni -3.4431 -2.2521 -0.0108
Ni -4.8856 -6.3432 3.9340
Np -6.8070 -3.4722 4.5310
Np -2.0154 -7.5427 4.7936
Np -2.1707 -3.4716 2.6929
Np -9.8392 -2.1953 7.2947
Np -10.9981 -2.2669 12.1450
Np -0.8564 -7.4712 -0.0567
Np -5.0476 -6.2659 7.5573
Np -9.6839 -6.2665 9.3954
```

The value obtained for the uncorrected energy is -7.355 eV per atom. As for the space group: No. 62. The value obtained for the raw formation energy is -49.0 kJ per mole of atoms.

=====

(2)
The following is a PBE calculation of an optimized crystal structure of K2AgSb, from Alexandria.

```
8
Lattice="12.9856 0.0000 0.0000 0.0000 12.9856 0.0000 6.4928 6.4928 2.5786" Properties=species:S:1:pos:R:3 pbc="T T T"
K 16.2320 13.0707 1.9340
K 6.5779 3.2464 0.6447
K 6.4077 9.7392 0.6447
K 9.7392 12.9005 1.9340
Ag 6.4928 12.9856 1.2893
Ag 6.4928 6.4928 0.0000
Sb 0.0000 0.0000 0.0000
Sb 12.9856 6.4928 1.2893
```

The value obtained for the uncorrected energy is -2.455 eV per atom. As for the space group: No. 122. The value obtained for the raw formation energy is -15.7 kJ per mole of atoms.

=====

(3)
The following is a PBE calculation of an optimized crystal structure of Pr2BeSi3Ni12, from Alexandria.

```
18
Lattice="8.3135 1.2337 0.8750 5.1784 6.6197 0.8750 5.1784 3.0142 5.9583" Properties=species:S:1:pos:R:3 pbc="T T T"
Be 0.0000 0.0000 0.0000
Ni 9.7689 5.6863 5.5768
Ni 12.4639 9.4194 6.6811
Ni 6.2064 1.4482 1.0272
Ni 4.3244 2.5171 4.0787
Ni 9.7689 7.1431 3.5230
Ni 8.9013 5.1813 2.1315
Ni 4.3244 4.6815 1.0272
Ni 14.3459 6.1861 6.6811
Ni 8.9013 3.7246 4.1853
Ni 11.0356 4.9669 3.5230
Ni 7.6346 5.9007 4.1853
Ni 14.3459 8.3505 3.6296
Si 4.1568 0.6168 0.4375
Si 2.5892 3.3099 0.4375
Si 2.5892 1.5071 2.9791
Pr 12.2770 7.1462 5.0687
Pr 6.3933 3.7214 2.6396
```

The value obtained for the uncorrected energy is -5.624 eV per atom. As for the space group: No. 166. The value obtained for the raw formation energy is -12.3 kJ per mole of atoms.

=====

(4)
The following is a PBE calculation of an optimized crystal structure of La6In2CoIr, from Alexandria.

```
10
Lattice="7.6582 -0.0029 0.0005 -0.0029 7.6582 0.0004 -3.8269 -3.8265 5.5724" Properties=species:S:1:pos:R:3 pbc="T T T"
Co 3.8314 -3.8257 5.5718
In 3.8281 0.0042 2.7893
In 0.0000 3.8329 2.7893
Ir 0.0006 0.0046 5.5707
La 1.9765 1.9850 5.5689
La -1.9750 -1.9754 5.5678
La 1.8453 5.8085 0.0011
La 0.0031 0.0078 2.7875
La 1.9825 -1.9730 5.5720
La 3.8263 3.8295 2.7817
```

The energy relative to the elements is -359 meV/atom. The value obtained for the uncorrected energy is -5.460 eV per atom. As for the space group: No. 69.

=====

(5)
The following is a PBE calculation of an optimized crystal structure of Pm8PPt3Br4, from Alexandria.

```
16
Lattice="8.4288 0.0000 0.0000 0.0000 8.9386 0.3614 -4.2144 -4.2159 5.9579" Properties=species:S:1:pos:R:3 pbc="T T T"
Pm -2.0889 2.2026 6.0154
Pm 2.1255 2.5201 0.3039
Pm 0.0000 0.4565 3.3013
Pm 2.0889 2.2026 6.0154
Pm 0.0000 4.2922 3.0625
Pm 4.2144 0.4305 3.2569
Pm 4.2144 4.2662 3.0180
Pm 6.3033 2.5201 0.3039
Br -2.1072 -2.1080 2.9790
Br 0.0000 0.0000 0.0000
Br 4.2144 0.0000 0.0000
Br 2.1072 -2.1080 2.9790
Pt 4.2144 4.4693 0.1807
Pt -2.1072 2.3614 3.1597
Pt 2.1072 2.3614 3.1597
P 0.0000 4.4693 0.1807
```

The value obtained for the uncorrected energy is -5.530 eV per atom. As for the space group: No. 166. The value obtained for the raw formation energy is -122.1 kJ per mole of atoms.

=====

(6)
The following is a PBE calculation of an optimized crystal structure of Er8ZnSe4S3, from Alexandria.

```
16
Lattice="7.9266 0.0000 0.0000 0.0000 8.0205 0.0609 -3.9633 -3.9592 5.6068" Properties=species:S:1:pos:R:3 pbc="T T T"
S 1.9816 2.0307 2.8338
S 3.9633 4.0103 0.0304
S -1.9816 2.0307 2.8338
Se -1.9816 -1.9796 2.8034
Se 0.0000 0.0000 0.0000
Se 3.9633 0.0000 0.0000
Se 1.9816 -1.9796 2.8034
Er 5.9458 2.0980 0.0802
Er 1.9826 1.9633 5.5875
Er 0.0000 0.1531 2.9087
Er 3.9633 0.1176 2.8849
Er 0.0000 3.9438 2.7828
Er 1.9807 2.0980 0.0802
Er 3.9633 3.9083 2.7590
Er -1.9826 1.9633 5.5875
Zn 0.0000 4.0103 0.0304
```

The value obtained for the uncorrected energy is -5.637 eV per atom. As for the space group: No. 166. The value obtained for the raw formation energy is -157.4 kJ per mole of atoms.

=====

(7)
The following is a PBE calculation of an optimized crystal structure of Tl4HgSb, from Alexandria.

```
6
Lattice="-1.2232 -6.1690 -1.6062 -5.3568 -2.9272 2.2065 -4.8533 -1.3903 -4.0798" Properties=species:S:1:pos:R:3 pbc="T T T"
Tl -6.7168 -4.6260 -3.3489
Tl -6.9692 -5.3964 -0.1975
Tl -4.8969 -7.0216 -2.1088
Tl -4.2837 -3.9290 -1.3037
Hg -8.5750 -7.8649 -2.6096
Sb 0.0000 0.0000 0.0000
```

The value obtained for the uncorrected energy is -2.148 eV per atom. As for the space group: No. 216. The energy relative to the lowest polymorph listed for this composition comes out at 100 kJ/mol of formula units. The value obtained for the raw formation energy is 16.1 kJ per mole of atoms.

=====

(8)
The following is a PBE calculation of an optimized crystal structure of RbInRe2F, from Alexandria.

```
5
Lattice="-2.6496 -2.9278 3.2465 3.3260 -6.5736 -3.2138 3.8259 0.2840 3.3785" Properties=species:S:1:pos:R:3 pbc="T T T"
In 0.0000 0.0000 0.0000
Rb 1.6630 -3.2868 -1.6069
Re -1.3248 -1.4639 1.6233
Re 1.9129 0.1420 1.6893
F 2.2511 -4.6087 1.7056
```

The value obtained for the uncorrected energy is -4.440 eV per atom. As for the space group: No. 123. The value obtained for the raw formation energy is 159.7 kJ per mole of atoms.

=====

(9)
The following is a PBE calculation of an optimized crystal structure of Sc4BPb2, from Alexandria.

```
7
Lattice="4.5995 0.0000 0.0000 0.0000 4.5995 0.0000 -2.2998 -2.2998 7.6002" Properties=species:S:1:pos:R:3 pbc="T T T"
B 0.0000 0.0000 0.0000
Pb 0.0000 0.0000 5.4453
Pb 2.2997 2.2997 2.1549
Sc 2.2998 2.2998 5.1913
Sc 2.2998 0.0000 0.0000
Sc 0.0000 2.2998 0.0000
Sc 0.0000 0.0000 2.4089
```

The energy relative to the elements is -454 meV/atom. The value obtained for the uncorrected energy is -6.085 eV per atom. As for the space group: No. 139.

=====

(10)
The following is a PBE calculation of an optimized crystal structure of KPrSb2Au2, from Alexandria.

```
6
Lattice="-1.4350 -2.5735 3.6690 4.0610 2.3662 0.2303 -4.5138 7.4127 3.4341" Properties=species:S:1:pos:R:3 pbc="T T T"
Pr -2.2569 3.7064 1.7170
Au -2.7395 4.2241 4.9091
Au 0.8519 2.9813 2.4243
Sb -1.0646 6.1286 3.8823
Sb -0.8230 1.0767 3.4510
K 0.0000 0.0000 0.0000
```

The value obtained for the uncorrected energy is -4.169 eV per atom. As for the space group: No. 164. The value obtained for the raw formation energy is -69.8 kJ per mole of atoms.

=====

(11)
The following is a PBE calculation of an optimized crystal structure of Pm5Er2Th2, from Alexandria.

```
9
Lattice="3.4637 0.0001 -0.7130 0.1750 9.7484 0.8474 0.0657 1.4591 9.0560" Properties=species:S:1:pos:R:3 pbc="T T T"
Pm 0.0000 0.0000 0.0000
Pm 0.6363 5.0463 3.0799
Pm 2.4467 8.2118 3.1176
Pm 1.2577 2.9957 6.0728
Pm 3.0681 6.1612 6.1105
Er 3.0875 9.6885 6.1891
Er 0.6169 1.5191 3.0013
Th 1.8309 3.1867 0.1205
Th 1.8735 8.0209 9.0699
```

The energy relative to the elements is 111 meV/atom. The value obtained for the uncorrected energy is -5.191 eV per atom. As for the space group: No. 2.

=====

(12)
The following is a PBE calculation of an optimized crystal structure of Ac3GaPb, from Alexandria.

```
5
Lattice="-4.2029 0.5888 -4.1894 1.0959 -5.5523 -1.8797 -4.0862 -2.0946 3.8049" Properties=species:S:1:pos:R:3 pbc="T T T"
Ac -2.1014 0.2944 -2.0947
Ac 0.5479 -2.7761 -0.9398
Ac -2.0431 -1.0473 1.9025
Pb -3.5966 -3.5291 -1.1321
Ga 0.0000 0.0000 0.0000
```

The energy relative to the elements is -140 meV/atom. The value obtained for the uncorrected energy is -3.952 eV per atom. As for the space group: No. 221. The energy relative to the lowest polymorph listed for this composition comes out at 129 kJ/mol of formula units.

=====

(13)
The following is a PBE calculation of an optimized crystal structure of UTl3S4, from Alexandria.

```
8
Lattice="-1.8884 1.8682 -3.1272 2.3180 -5.6018 -4.7462 -6.8344 -1.9355 2.9708" Properties=species:S:1:pos:R:3 pbc="T T T"
S -3.6120 -6.0280 -1.4199
S -0.4727 -3.9281 -4.7529
S -5.9321 -1.7411 -0.1497
S -0.9044 -1.5093 -0.3555
Tl -3.4172 -0.9678 1.4854
Tl -3.2024 -2.8346 -2.4513
Tl 1.1590 -2.8009 -2.3731
U -0.9442 0.9341 -1.5636
```

The value obtained for the uncorrected energy is -5.143 eV per atom. As for the space group: No. 65. The energy relative to the lowest polymorph listed for this composition comes out at 0 kJ/mol of formula units. The value obtained for the raw formation energy is -75.3 kJ per mole of atoms.

=====

(14)
The following is a PBE calculation of an optimized crystal structure of Rb2LiBeSb2, from Alexandria.

```
12
Lattice="6.7893 0.0000 0.0000 0.0000 6.7186 0.0000 -3.3946 -3.3593 8.1507" Properties=species:S:1:pos:R:3 pbc="T T T"
Sb -1.4525 3.3593 6.8364
Sb 4.8472 0.0000 1.3143
Sb 1.9421 3.3593 1.3143
Sb 1.4525 0.0000 6.8364
Li 0.0000 5.0390 0.0000
Li 0.0000 1.6797 0.0000
Rb 5.2046 3.3593 2.7247
Rb 1.5847 0.0000 2.7247
Rb 1.8100 3.3593 5.4260
Rb -1.8100 0.0000 5.4260
Be 3.3946 1.6797 0.0000
Be 3.3946 5.0390 0.0000
```

The value obtained for the uncorrected energy is -2.929 eV per atom. As for the space group: No. 72. The value obtained for the raw formation energy is -28.2 kJ per mole of atoms.

=====

(15)
The following is a PBE calculation of an optimized crystal structure of TiV3Si, from Alexandria.

```
10
Lattice="-3.9684 1.5224 2.2520 -2.4619 -4.0203 -1.6205 2.9024 -1.0286 5.8098" Properties=species:S:1:pos:R:3 pbc="T T T"
Ti -3.9618 -1.3146 1.6129
Ti 0.4339 -2.2119 4.8283
V -2.4491 -1.9677 4.7200
V -2.3820 0.0614 3.4665
V -2.3254 -3.5945 0.9007
V -1.0788 -1.5588 1.7212
V -1.2025 0.0680 5.5406
V -1.1459 -3.5879 2.9747
Si -1.9842 0.7612 1.1260
Si 0.0000 0.0000 0.0000
```

The value obtained for the uncorrected energy is -8.139 eV per atom. As for the space group: No. 63. The energy relative to the lowest polymorph listed for this composition comes out at 0 kJ/mol of formula units. The value obtained for the raw formation energy is -0.4 kJ per mole of atoms.

=====

(16)
The following is a PBE calculation of an optimized crystal structure of RbSn2Hg2, from Alexandria.

```
10
Lattice="9.2718 0.0000 0.0000 0.0000 9.2718 0.0000 0.0000 0.0000 3.5074" Properties=species:S:1:pos:R:3 pbc="T T T"
Hg 7.7267 3.0909 1.7537
Hg 6.1809 7.7267 1.7537
Hg 3.0909 1.5450 1.7537
Hg 1.5450 6.1809 1.7537
Rb 0.0000 0.0000 0.0000
Rb 4.6359 4.6359 0.0000
Sn 8.1070 5.8006 0.0000
Sn 5.8006 1.1647 0.0000
Sn 1.1647 3.4712 0.0000
Sn 3.4712 8.1070 0.0000
```

The energy relative to the elements is -45 meV/atom. The value obtained for the uncorrected energy is -1.961 eV per atom. As for the space group: No. 127. The energy relative to the lowest polymorph listed for this composition comes out at 49 kJ/mol of formula units.

=====

(17)
The following is a PBE calculation of an optimized crystal structure of Bi2BSbOs, from Alexandria.

```
5
Lattice="4.9430 0.0000 0.0000 0.0000 4.5011 0.0000 0.0000 0.0000 4.9430" Properties=species:S:1:pos:R:3 pbc="T T T"
Sb 0.0000 2.2505 0.0000
Bi 0.0000 0.0000 2.4715
Bi 2.4715 0.0000 0.0000
B 0.0000 0.0000 0.0000
Os 2.4715 2.2505 2.4715
```

The value obtained for the uncorrected energy is -4.564 eV per atom. As for the space group: No. 123. The value obtained for the raw formation energy is 134.6 kJ per mole of atoms.

=====

(18)
The following is a PBE calculation of an optimized crystal structure of Ce2DyY6Er3, from Alexandria.

```
12
Lattice="6.1430 0.0000 0.0061 -3.0700 5.3208 0.0061 -1.0352 -1.7925 11.5663" Properties=species:S:1:pos:R:3 pbc="T T T"
Y 3.0673 1.7474 8.6841
Y 2.0571 -0.0017 2.8944
Y -0.0194 3.5301 8.6841
Y -1.0296 1.7809 2.8944
Y -0.0046 -0.0080 8.6771
Y 2.0424 3.5363 2.9014
Er -2.0573 3.5408 5.7893
Er 4.0950 -0.0124 5.7893
Er 1.0189 1.7642 5.7893
Ce 0.0015 3.5469 0.0061
Ce 3.0715 1.7739 0.0061
Dy 0.0000 0.0000 0.0000
```

The energy relative to the elements is 54 meV/atom. The value obtained for the uncorrected energy is -5.692 eV per atom. As for the space group: No. 12.

=====

(19)
The following is a PBE calculation of an optimized crystal structure of ReRu2O, from Alexandria.

```
8
Lattice="-1.4198 -2.0813 4.5321 3.1222 -4.0455 -0.8798 4.4964 -0.7314 4.0391" Properties=species:S:1:pos:R:3 pbc="T T T"
Re 1.9639 -2.9381 5.1987
Re 0.0000 0.0000 0.0000
Ru 0.7081 -1.8705 3.4736
Ru 4.1890 -3.0771 4.3487
Ru 2.8169 -3.0903 1.2852
Ru 4.6836 -5.6785 6.2753
O 4.2349 -3.9201 2.4927
O 0.8512 -3.0634 1.8262
```

The value obtained for the uncorrected energy is -8.583 eV per atom. As for the space group: No. 122. The energy relative to the lowest polymorph listed for this composition comes out at 0 kJ/mol of formula units. The value obtained for the raw formation energy is 39.2 kJ per mole of atoms.

=====

(20)
The following is a PBE calculation of an optimized crystal structure of Hf2Ti3Hg2, from Alexandria.

```
7
Lattice="4.1464 0.0000 0.5503 0.0000 3.0568 0.0000 0.6477 0.0000 11.0162" Properties=species:S:1:pos:R:3 pbc="T T T"
Hg 2.9174 1.5284 9.8112
Hg 1.8768 1.5284 1.7553
Ti 0.0000 0.0000 0.0000
Ti 1.0471 0.0000 8.0071
Ti 3.7471 0.0000 3.5593
Hf 1.4874 1.5284 4.6893
Hf 3.3067 1.5284 6.8771
```

The energy relative to the elements is 128 meV/atom. The value obtained for the uncorrected energy is -6.186 eV per atom. As for the space group: No. 65.